No. 1
Compound: TiTlCl4
Source: Alexandria via LeMat-Bulk
Functional: PBE
Structure: relaxed

a b c (Å): 8.2764 8.2764 6.8476
angles (deg): 103.99 103.99 44.29
Element x y z (fractional)
Ti1 0.0000 0.5000 0.0000
Ti2 0.5000 0.0000 0.5000
Tl1 0.1915 0.8085 0.7500
Tl2 0.8085 0.1915 0.2500
Cl1 0.1378 0.2606 0.6674
Cl2 0.2606 0.1378 0.1674
Cl3 0.2861 0.5080 0.0537
Cl4 0.4920 0.7139 0.4463
Cl5 0.5080 0.2861 0.5537
Cl6 0.7139 0.4920 0.9463
Cl7 0.7394 0.8622 0.8326
Cl8 0.8622 0.7394 0.3326

Properties
- ΔE to the lowest computed polymorph (meV per atom) = 0


No. 2
Compound: Ti2TlCl8
Source: Alexandria via LeMat-Bulk
Functional: PBE
Structure: relaxed

a b c (Å): 8.0727 8.0727 7.2083
angles (deg): 90.00 90.00 120.00
Element x y z (fractional)
Ti1 0.3333 0.6667 0.1871
Ti2 0.6667 0.3333 0.8129
Tl1 0.0000 0.0000 0.0000
Cl1 0.1823 0.3645 0.2885
Cl2 0.1823 0.8177 0.2885
Cl3 0.3333 0.6667 0.8805
Cl4 0.3645 0.1823 0.7115
Cl5 0.6355 0.8177 0.2885
Cl6 0.6667 0.3333 0.1195
Cl7 0.8177 0.1823 0.7115
Cl8 0.8177 0.6355 0.7115

Properties
- ΔE to the lowest computed polymorph (meV per atom) = 0


No. 3
Compound: TiTl3Cl6
Source: Alexandria via LeMat-Bulk
Functional: PBE
Structure: relaxed

a b c (Å): 8.6170 8.0190 7.1109
angles (deg): 69.14 60.41 50.45
Element x y z (fractional)
Ti1 0.0000 0.0000 0.0000
Tl1 0.2500 0.2500 0.2500
Tl2 0.5000 0.5000 0.5000
Tl3 0.7500 0.7500 0.7500
Cl1 0.0629 0.6786 0.9371
Cl2 0.2201 0.7799 0.2201
Cl3 0.3214 0.9371 0.6786
Cl4 0.6786 0.0629 0.3214
Cl5 0.7799 0.2201 0.7799
Cl6 0.9371 0.3214 0.0629

Properties
- ΔE to the lowest computed polymorph (meV per atom) = 54


No. 4
Compound: Ti4TlCl7
Source: Alexandria via LeMat-Bulk
Functional: PBE
Structure: relaxed

a b c (Å): 4.9581 19.0111 5.2371
angles (deg): 90.00 90.00 90.00
Element x y z (fractional)
Ti1 0.2500 0.0028 0.1536
Ti2 0.2500 0.4972 0.1536
Ti3 0.2500 0.6077 0.8143
Ti4 0.2500 0.8923 0.8143
Ti5 0.7500 0.1077 0.1857
Ti6 0.7500 0.3923 0.1857
Ti7 0.7500 0.5028 0.8464
Ti8 0.7500 0.9972 0.8464
Tl1 0.2500 0.2500 0.6706
Tl2 0.7500 0.7500 0.3294
Cl1 0.2500 0.0162 0.6783
Cl2 0.2500 0.1335 0.1743
Cl3 0.2500 0.3665 0.1743
Cl4 0.2500 0.4838 0.6783
Cl5 0.2500 0.6260 0.2903
Cl6 0.2500 0.7500 0.7805
Cl7 0.2500 0.8740 0.2903
Cl8 0.7500 0.1260 0.7097
Cl9 0.7500 0.2500 0.2195
Cl10 0.7500 0.3740 0.7097
Cl11 0.7500 0.5162 0.3217
Cl12 0.7500 0.6335 0.8257
Cl13 0.7500 0.8665 0.8257
Cl14 0.7500 0.9838 0.3217

Properties
- calculated total energy (eV per atom) = -4.98